ZrHg2Sb2 | PBE | optimized geometry

abc: 7.665 7.665 4.356
angles: 90.00 90.00 90.00
Fractional coordinates of all 10 atoms:
Sb: 0.357 0.857 0.000
Sb: 0.857 0.643 0.000
Sb: 0.643 0.143 0.000
Sb: 0.143 0.357 0.000
Hg: 0.171 0.671 0.500
Hg: 0.671 0.829 0.500
Hg: 0.829 0.329 0.500
Hg: 0.329 0.171 0.500
Zr: 0.000 0.000 0.000
Zr: 0.500 0.500 0.000

Properties
For the total energy, the calculation gives -3.4090 eV/atom. The value obtained for the density of states at the Fermi level is 5.969 states/eV per cell. The calculation puts the total magnetization at 0.000 μB/f.u. The value obtained for the calculated density is 9.550 Mg/m³.

---

ScTlOs4 | PBE | optimized geometry

abc: 5.265 5.265 5.265
angles: 60.00 60.00 60.00
Fractional coordinates of all 6 atoms:
Sc: 0.750 0.750 0.750
Tl: 0.000 0.000 0.000
Os: 0.875 0.375 0.375
Os: 0.375 0.375 0.875
Os: 0.375 0.875 0.375
Os: 0.375 0.375 0.375

Properties
The value obtained for the density of states at the Fermi level is 8.294 states/eV per cell. For the formation energy, the calculation gives 324 meV/atom. The calculation puts the total magnetization at 0.000 μB/f.u. The value obtained for the calculated density is 16.254 Mg/m³.

---

Which value of calculated density does entry 1 give? 9.550 Mg/m³

---

calculated density of number 2 (ScTlOs4)? 16.254 Mg/m³